Record 1
Entry from Alexandria: a relaxed RbCrPt2 crystal (GGA-PBE).

Computed properties:
The value obtained for the offset from the most stable computed form is 0.286 eV per atom. The value obtained for the formation energy is 0.77 eV per atom. The value obtained for the density of states at the Fermi level is 6.86 states/eV/cell.

a b c (Å): 4.844 4.844 4.844
angles (deg): 60.00 60.00 60.00
Sites, in units of the cell vectors:
Rb: 0.000 0.000 0.000
Cr: 0.500 0.500 0.500
Pt: 0.250 0.250 0.250
Pt: 0.750 0.750 0.750

Record 2
Entry from Alexandria: a relaxed UBSe3 crystal (GGA-PBE).

Computed properties:
The value obtained for the density of states at the Fermi level is 8.04 states/eV/cell. Its formation energy (no corrections) is -495 meV/atom.

a b c (Å): 8.687 8.687 8.687
angles (deg): 65.86 131.87 137.86
Sites, in units of the cell vectors:
U: 0.084 0.250 0.334
U: 0.916 0.750 0.666
B: 0.442 0.246 0.696
B: 0.550 0.746 0.304
Se: 0.142 0.578 0.064
Se: 0.514 0.078 0.936
Se: 0.526 0.285 0.504
Se: 0.526 0.522 0.741
Se: 0.781 0.022 0.496
Se: 0.781 0.785 0.259